Entry 1:
! Y2CoNi (PBE, relaxed); values from VASP
&SYSTEM
  ibrav = 0, nat = 4, ntyp = 3
/
ATOMIC_SPECIES
Co 58.93 Co.upf
Ni 58.69 Ni.upf
Y 88.91 Y.upf
CELL_PARAMETERS angstrom
-0.467 -2.699 2.842
2.989 -2.311 1.141
2.457 2.716 5.612
ATOMIC_POSITIONS angstrom
Co 3.735 -1.721 7.196
Ni 1.245 -0.574 2.399
Y 2.444 2.682 5.578
Y 2.503 -1.113 4.832
! **Volume**: 84.4 Å³ per cell
! **Symmetry**: C2/m, No. 12
! **Magnetization**: 0.00 μB/atom
! **E_tot**: -6.444 eV per atom


Entry 2:
! Dy3Ga9Ag2 (PBE, relaxed); values from VASP
&SYSTEM
  ibrav = 0, nat = 14, ntyp = 3
/
ATOMIC_SPECIES
Ga 69.72 Ga.upf
Dy 162.50 Dy.upf
Ag 107.87 Ag.upf
CELL_PARAMETERS angstrom
4.237 0.000 0.000
2.119 8.075 -0.060
2.119 1.772 7.878
ATOMIC_POSITIONS angstrom
Ga 2.119 0.838 2.269
Dy 4.237 3.121 2.478
Ga 6.356 9.008 5.549
Ag 4.237 3.556 5.630
Dy 0.000 0.000 0.000
Ga 6.356 4.898 6.798
Ga 2.119 4.949 1.020
Ga 2.119 2.400 0.302
Ag 4.237 6.290 2.187
Dy 4.237 6.726 5.340
Ga 2.119 4.923 3.909
Ga 2.119 2.115 4.589
Ga 6.356 7.447 7.516
Ga 6.356 7.731 3.229
! **Volume**: 270.0 Å³ per cell
! **Symmetry**: Immm, No. 71
! **Magnetization**: 0.00 μB/atom
! **E_tot**: -3.786 eV per atom


Entry 3:
! Ba2NdH12Pd3 (PBE, relaxed); values from VASP
&SYSTEM
  ibrav = 0, nat = 18, ntyp = 4
/
ATOMIC_SPECIES
Pd 106.42 Pd.upf
H 1.01 H.upf
Ba 137.33 Ba.upf
Nd 144.24 Nd.upf
CELL_PARAMETERS angstrom
-0.484 5.442 -3.530
-2.346 -0.764 -6.018
-6.049 2.195 -0.948
ATOMIC_POSITIONS angstrom
Pd -3.024 1.098 -0.474
H -3.906 1.403 -6.656
H -6.143 1.572 -5.404
Pd -0.242 2.721 -1.765
H -4.978 5.002 -8.749
Ba -5.426 4.200 -6.413
Ba -3.454 2.674 -4.083
H -6.232 3.262 -3.470
H -3.901 1.871 -1.747
H -4.974 5.471 -3.840
H -7.548 3.503 -7.556
H -2.191 0.505 -4.089
H -2.736 5.302 -5.092
H -6.688 6.369 -6.407
Pd -1.173 -0.382 -3.009
H -2.647 3.612 -7.026
H -1.332 3.371 -2.940
Nd 0.000 0.000 0.000
! **Volume**: 213.7 Å³ per cell
! **Symmetry**: R-3m, No. 166
! **Magnetization**: 0.00 μB/atom
! **E_tot**: -3.931 eV per atom